Below is RbSbTe2P after structural relaxation, with properties calculated at the PBE level.

Energy relative to the lowest polymorph listed for this composition   0 meV/atom
E   -3.32 eV/atom
SG   P4/mmm (123)
Density of states at the Fermi level   3.9 states/eV per cell
Formation energy without anion corrections   40.8 meV per atom

```
RbSbTe2P
1.0
5.6655 0.0000 0.0000
0.0000 5.6655 0.0000
0.0000 0.0000 5.1461
Rb Sb Te P
1 1 2 1
Cartesian
0.0000 0.0000 0.0000 Rb
2.8327 2.8327 0.0000 Sb
0.0000 2.8327 2.5730 Te
2.8327 0.0000 2.5730 Te
2.8327 2.8327 2.5730 P
```



Below is RbSbTe2P after structural relaxation, with properties calculated at the PBE level.

Energy relative to the lowest polymorph listed for this composition   1529 meV/atom
E   -1.79 eV/atom
SG   P4/mmm (123)
Density of states at the Fermi level   8.0 states/eV per cell
Formation energy without anion corrections   1569.6 meV per atom

```
RbSbTe2P
1.0
7.2979 0.0000 0.0000
0.0000 7.2979 0.0000
0.0000 0.0000 8.0662
Rb Sb Te P
1 1 2 1
Cartesian
0.0000 0.0000 0.0000 Rb
0.0000 0.0000 4.0331 Sb
0.0000 3.6490 0.0000 Te
3.6490 0.0000 0.0000 Te
3.6490 3.6490 4.0331 P
```